1.
Ti2ClF: relaxed, GGA-PBE.

```
Ti2ClF
1.0
0.000 2.978 2.978
2.978 0.000 2.978
2.978 2.978 0.000
Ti Cl F
2 1 1
Direct
0.250 0.250 0.250
0.750 0.750 0.750
0.000 0.000 0.000
0.500 0.500 0.500
```

formation energy from raw total energies: -0.689 eV per atom
magnetization: 0.0 Bohr magnetons per cell
SG: Fm-3m


2.
Li2LaCu: relaxed, GGA-PBE.

```
Li2LaCu
1.0
3.725 0.000 0.000
0.000 4.047 0.000
-1.843 0.000 6.129
Li La Cu
2 1 1
Direct
0.000 0.000 0.000
0.452 0.500 0.905
0.729 0.000 0.460
0.131 0.500 0.261
```

calculated formation energy: 30 meV per atom
magnetization: 0.0 Bohr magnetons per cell
SG: Pm


- Which value of magnetization does entry 2 give?
  0.0 Bohr magnetons per cell